No. 1
# BaCu12Si6 (PBE, optimized geometry)
# Fermi-level density of states = 19.56 states/eV/cell
# formation energy from raw total energies = -0.09 eV per atom
# DFT total energy = -4.49 eV per atom
data_BaCu12Si6
_chemical_formula_sum 'Ba3 Cu36 Si18'
_symmetry_space_group_name_H-M 'R -3 m'
_symmetry_Int_Tables_number 166
_symmetry_space_group_name_Hall '-R 3 2"'
_cell_length_a 11.3545
_cell_length_b 11.3545
_cell_length_c 7.7306
_cell_angle_alpha 90.00
_cell_angle_beta 90.00
_cell_angle_gamma 120.00
loop_
_atom_site_label
_atom_site_type_symbol
_atom_site_fract_x
_atom_site_fract_y
_atom_site_fract_z
Ba1 Ba 0.0000 0.0000 0.0000
Cu1 Cu 0.0000 0.3255 0.5000
Cu2 Cu 0.0910 0.1819 0.3652
Si1 Si 0.0640 0.5320 0.3559


No. 2
# RbPtBr (PBE, optimized geometry)
# excess energy over the best structure of this formula in the dataset = 69 meV per atom
# Fermi-level density of states = 0.00 states/eV/cell
# formation energy from raw total energies = -0.59 eV per atom
# DFT total energy = -3.49 eV per atom
data_RbPtBr
_chemical_formula_sum 'Rb4 Pt4 Br4'
_symmetry_space_group_name_H-M 'C 1 2 1'
_symmetry_Int_Tables_number 5
_symmetry_space_group_name_Hall 'C 2y'
_cell_length_a 13.942
_cell_length_b 4.310
_cell_length_c 9.270
_cell_angle_alpha 90.00
_cell_angle_beta 131.51
_cell_angle_gamma 90.00
loop_
_atom_site_label
_atom_site_type_symbol
_atom_site_fract_x
_atom_site_fract_y
_atom_site_fract_z
Rb1 Rb 0.000 0.000 0.000
Rb2 Rb 0.000 0.499 0.500
Pt1 Pt 0.250 0.119 0.931
Br1 Br 0.250 0.468 0.329


No. 3
# K2CuBr2F2 (PBE, optimized geometry)
# excess energy over the best structure of this formula in the dataset = 0 meV per atom
# Fermi-level density of states = 3.02 states/eV/cell
# formation energy from raw total energies = -1.67 eV per atom
# DFT total energy = -3.58 eV per atom
data_K2CuBr2F2
_chemical_formula_sum 'K4 Cu2 Br4 F4'
_symmetry_space_group_name_H-M 'I 4/m m m'
_symmetry_Int_Tables_number 139
_symmetry_space_group_name_Hall '-I 4 2'
_cell_length_a 4.458
_cell_length_b 4.458
_cell_length_c 15.759
_cell_angle_alpha 90.00
_cell_angle_beta 90.00
_cell_angle_gamma 90.00
loop_
_atom_site_label
_atom_site_type_symbol
_atom_site_fract_x
_atom_site_fract_y
_atom_site_fract_z
K1 K 0.000 0.000 0.113
Cu1 Cu 0.000 0.000 0.500
Br1 Br 0.000 0.000 0.343
F1 F 0.000 0.500 0.000


No. 4
# Tl3Sb2Pb7 (PBE, optimized geometry)
# Fermi-level density of states = 4.48 states/eV/cell
# formation energy from raw total energies = 0.07 eV per atom
# DFT total energy = -3.37 eV per atom
data_Tl3Sb2Pb7
_chemical_formula_sum 'Tl3 Sb2 Pb7'
_symmetry_space_group_name_H-M 'P 1 2/m 1'
_symmetry_Int_Tables_number 10
_symmetry_space_group_name_Hall '-P 2y'
_cell_length_a 5.391
_cell_length_b 4.382
_cell_length_c 17.167
_cell_angle_alpha 90.00
_cell_angle_beta 95.20
_cell_angle_gamma 90.00
loop_
_atom_site_label
_atom_site_type_symbol
_atom_site_fract_x
_atom_site_fract_y
_atom_site_fract_z
Tl1 Tl 0.000 0.000 0.000
Tl2 Tl 0.335 0.500 0.646
Sb1 Sb 0.094 0.000 0.278
Pb1 Pb 0.047 0.500 0.146
Pb2 Pb 0.234 0.000 0.454
Pb3 Pb 0.448 0.000 0.833
Pb4 Pb 0.500 0.500 0.000


No. 5
# SrLa2Tl2 (PBE, optimized geometry)
# excess energy over the best structure of this formula in the dataset = 0 meV per atom
# ΔE_f = -324.2 meV/atom
# Fermi-level density of states = 15.21 states/eV/cell
# DFT total energy = -3.58 eV per atom
data_SrLa2Tl2
_chemical_formula_sum 'Sr2 La4 Tl4'
_symmetry_space_group_name_H-M 'P 4/m b m'
_symmetry_Int_Tables_number 127
_symmetry_space_group_name_Hall '-P 4 2ab'
_cell_length_a 9.172
_cell_length_b 9.172
_cell_length_c 4.179
_cell_angle_alpha 90.00
_cell_angle_beta 90.00
_cell_angle_gamma 90.00
loop_
_atom_site_label
_atom_site_type_symbol
_atom_site_fract_x
_atom_site_fract_y
_atom_site_fract_z
Sr1 Sr 0.000 0.000 0.000
La1 La 0.165 0.335 0.500
Tl1 Tl 0.132 0.632 0.000


No. 6
# NdEuHoMg (PBE, optimized geometry)
# ΔE_f = 68.2 meV/atom
# Fermi-level density of states = 14.79 states/eV/cell
# DFT total energy = -5.24 eV per atom
data_NdEuHoMg
_chemical_formula_sum 'Nd4 Eu4 Ho4 Mg4'
_symmetry_space_group_name_H-M 'F -4 3 m'
_symmetry_Int_Tables_number 216
_symmetry_space_group_name_Hall 'F -4 2 3'
_cell_length_a 7.980
_cell_length_b 7.980
_cell_length_c 7.980
_cell_angle_alpha 90.00
_cell_angle_beta 90.00
_cell_angle_gamma 90.00
loop_
_atom_site_label
_atom_site_type_symbol
_atom_site_fract_x
_atom_site_fract_y
_atom_site_fract_z
Nd1 Nd 0.000 0.000 0.000
Eu1 Eu 0.250 0.250 0.250
Ho1 Ho 0.000 0.000 0.500
Mg1 Mg 0.250 0.250 0.750


No. 7
# BaMg4Cd8 (PBE, optimized geometry)
# ΔE_f = -174.8 meV/atom
# Fermi-level density of states = 10.71 states/eV/cell
# DFT total energy = -1.38 eV per atom
data_BaMg4Cd8
_chemical_formula_sum 'Ba2 Mg8 Cd16'
_symmetry_space_group_name_H-M 'I 4/m m m'
_symmetry_Int_Tables_number 139
_symmetry_space_group_name_Hall '-I 4 2'
_cell_length_a 10.167
_cell_length_b 10.167
_cell_length_c 6.074
_cell_angle_alpha 90.00
_cell_angle_beta 90.00
_cell_angle_gamma 90.00
loop_
_atom_site_label
_atom_site_type_symbol
_atom_site_fract_x
_atom_site_fract_y
_atom_site_fract_z
Ba1 Ba 0.000 0.000 0.000
Mg1 Mg 0.250 0.250 0.250
Cd1 Cd 0.000 0.222 0.500
Cd2 Cd 0.000 0.352 0.000


No. 8
# PmEr2Hg2 (PBE, optimized geometry)
# excess energy over the best structure of this formula in the dataset = 403 meV per atom
# ΔE_f = 21.7 meV/atom
# Fermi-level density of states = 24.30 states/eV/cell
# DFT total energy = -2.87 eV per atom
data_PmEr2Hg2
_chemical_formula_sum 'Pm4 Er8 Hg8'
_symmetry_space_group_name_H-M 'C 1 2/c 1'
_symmetry_Int_Tables_number 15
_symmetry_space_group_name_Hall '-C 2yc'
_cell_length_a 6.662
_cell_length_b 11.436
_cell_length_c 9.017
_cell_angle_alpha 90.00
_cell_angle_beta 111.55
_cell_angle_gamma 90.00
loop_
_atom_site_label
_atom_site_type_symbol
_atom_site_fract_x
_atom_site_fract_y
_atom_site_fract_z
Pm1 Pm 0.000 0.125 0.250
Er1 Er 0.103 0.375 0.955
Hg1 Hg 0.000 0.156 0.750
Hg2 Hg 0.000 0.407 0.250